## AlNiGeAu (PBE-GGA)

Data for a geometry-optimized AlNiGeAu structure.

Cell: 6.2754 6.2754 6.2754 Å, 90.00 90.00 90.00°
Last column: nearest neighbours and their distance in Å.
Space group F-43m (No. 216)
Symmetry-distinct sites (fractional):
Al: 0.0000 0.0000 0.0000 x4  4 Ni 2.72, 4 Au 2.72
Ni: 0.2500 0.2500 0.2500 x4  4 Ge 2.72, 4 Al 2.72
Ge: 0.0000 0.0000 0.5000 x4  4 Ni 2.72, 4 Au 2.72
Au: 0.2500 0.2500 0.7500 x4  4 Ge 2.72, 4 Al 2.72

Computed properties:
- V: 15.4 Å³ per atom
- Offset from the most stable computed form: 0.00 eV/f.u.
- Total DFT energy (no corrections): -69.5 eV per cell